Computed, not measured: a geometry-optimized Li8PtAu2 structure at the PBE level of DFT.

Summary:
Its formation energy from the elements is -0.40 eV per atom. The magnetization is 0.000 μB/atom. Its volume is 15.1 A^3/atom. Its symmetry is C2/m (12). The calculation puts the raw total energy at -2.94 eV per atom. The calculation puts the distance to the lowest polymorph of the same formula at 0.012 eV per atom.

Lattice parameters (Å, degrees): 4.569 4.901 7.805 94.48 107.02 90.00
Fractional positions:
Li 0.584 0.554 0.168
Li 0.329 0.921 0.657
Li 0.232 0.338 0.464
Li 0.042 0.242 0.083
Li 0.768 0.662 0.536
Li 0.671 0.079 0.343
Li 0.416 0.446 0.832
Li 0.958 0.758 0.917
Pt 0.500 0.000 0.000
Au 0.145 0.790 0.290
Au 0.855 0.210 0.710